1.
# PBE-GGA Ac2AlInGe, relaxed
data_Ac2AlInGe
_chemical_formula_sum 'Ac4 Al2 In2 Ge2'
_space_group_name_H-M_alt 'P 1'
_space_group_IT_number 1
_cell_length_a 4.618
_cell_length_b 7.749
_cell_length_c 9.520
_cell_angle_alpha 105.52
_cell_angle_beta 90.00
_cell_angle_gamma 90.00
loop_
_space_group_symop_operation_xyz
'x,y,z'
loop_
_atom_site_label
_atom_site_fract_x
_atom_site_fract_y
_atom_site_fract_z
In1 0.250 0.679 0.303
In2 0.750 0.321 0.697
Ac1 0.250 0.251 0.971
Ac2 0.250 0.197 0.410
Ac3 0.750 0.803 0.590
Ac4 0.750 0.749 0.029
Ge1 0.250 0.851 0.829
Ge2 0.750 0.149 0.171
Al1 0.250 0.527 0.733
Al2 0.750 0.473 0.267
# - Final energy: -43.078 eV/cell
# - Space group: P2_1/m
# - DOS(E_F): 6.1 states/eV/cell
# - Energy of formation from the pure elements: -445 meV per atom

2.
# PBE-GGA Tb2SmHoRh4, relaxed
data_Tb2SmHoRh4
_chemical_formula_sum 'Tb2 Sm1 Ho1 Rh4'
_space_group_name_H-M_alt 'P 1'
_space_group_IT_number 1
_cell_length_a 4.872
_cell_length_b 4.872
_cell_length_c 8.461
_cell_angle_alpha 73.27
_cell_angle_beta 73.27
_cell_angle_gamma 60.00
loop_
_space_group_symop_operation_xyz
'x,y,z'
loop_
_atom_site_label
_atom_site_fract_x
_atom_site_fract_y
_atom_site_fract_z
Tb1 0.249 0.249 0.253
Tb2 0.751 0.751 0.747
Rh1 0.377 0.377 0.870
Rh2 0.126 0.126 0.621
Rh3 0.874 0.874 0.379
Rh4 0.623 0.623 0.130
Sm1 0.000 0.000 0.000
Ho1 0.500 0.500 0.500
# - Final energy: -54.615 eV/cell
# - Space group: R-3m
# - DOS(E_F): 3.9 states/eV/cell
# - Energy of formation from the pure elements: -832 meV per atom

3.
# PBE-GGA Nd2GaSi4Ni3, relaxed
data_Nd2GaSi4Ni3
_chemical_formula_sum 'Nd2 Ga1 Si4 Ni3'
_space_group_name_H-M_alt 'P 1'
_space_group_IT_number 1
_cell_length_a 4.060
_cell_length_b 4.060
_cell_length_c 9.844
_cell_angle_alpha 90.00
_cell_angle_beta 90.00
_cell_angle_gamma 90.00
loop_
_space_group_symop_operation_xyz
'x,y,z'
loop_
_atom_site_label
_atom_site_fract_x
_atom_site_fract_y
_atom_site_fract_z
Nd1 0.000 0.500 0.759
Nd2 0.500 0.000 0.241
Ni1 0.500 0.000 0.883
Ni2 0.000 0.000 0.500
Ni3 0.000 0.500 0.117
Si1 0.000 0.000 0.000
Si2 0.500 0.000 0.646
Si3 0.000 0.500 0.354
Si4 0.500 0.500 0.000
Ga1 0.500 0.500 0.500
# - Final energy: -59.069 eV/cell
# - Space group: P-4m2
# - DOS(E_F): 4.1 states/eV/cell
# - Formation energy (no corrections): -747 meV/atom

4.
# PBE-GGA CsTa2P5O18, relaxed
data_CsTa2P5O18
_chemical_formula_sum 'Cs2 Ta4 P10 O36'
_space_group_name_H-M_alt 'P 1'
_space_group_IT_number 1
_cell_length_a 5.224
_cell_length_b 11.165
_cell_length_c 14.643
_cell_angle_alpha 83.08
_cell_angle_beta 87.00
_cell_angle_gamma 85.31
loop_
_space_group_symop_operation_xyz
'x,y,z'
loop_
_atom_site_label
_atom_site_fract_x
_atom_site_fract_y
_atom_site_fract_z
P1 0.224 0.625 0.580
P2 0.391 0.086 0.846
P3 0.801 0.150 0.136
P4 0.713 0.773 0.332
P5 0.199 0.850 0.864
P6 0.287 0.227 0.668
P7 0.787 0.447 0.888
P8 0.213 0.553 0.112
P9 0.776 0.375 0.420
P10 0.609 0.914 0.154
O1 0.523 0.300 0.680
O2 0.678 0.861 0.400
O3 0.034 0.426 0.378
O4 0.785 0.836 0.228
O5 0.453 0.604 0.061
O6 0.804 0.577 0.914
O7 0.185 0.844 0.765
O8 0.966 0.574 0.622
O9 0.815 0.156 0.235
O10 0.547 0.396 0.939
O11 0.773 0.242 0.426
O12 0.237 0.548 0.216
O13 0.390 0.168 0.925
O14 0.215 0.164 0.772
O15 0.034 0.195 0.073
O16 0.642 0.038 0.810
O17 0.966 0.805 0.927
O18 0.052 0.322 0.655
O19 0.322 0.139 0.600
O20 0.948 0.678 0.345
O21 0.358 0.962 0.190
O22 0.559 0.448 0.361
O23 0.029 0.368 0.919
O24 0.971 0.632 0.081
O25 0.227 0.758 0.574
O26 0.441 0.552 0.639
O27 0.737 0.424 0.517
O28 0.442 0.778 0.909
O29 0.477 0.700 0.320
O30 0.763 0.452 0.784
O31 0.196 0.423 0.086
O32 0.263 0.576 0.483
O33 0.610 0.832 0.075
O34 0.793 0.015 0.107
O35 0.558 0.222 0.091
O36 0.207 0.985 0.893
Ta1 0.745 0.437 0.648
Ta2 0.255 0.563 0.352
Ta3 0.294 0.291 0.007
Ta4 0.706 0.709 0.993
Cs1 0.701 0.897 0.625
Cs2 0.299 0.103 0.375
# - Final energy: -406.449 eV/cell
# - Space group: P-1
# - DOS(E_F): 0.0 states/eV/cell
# - Formation energy (no corrections): -2399 meV/atom